No. 1
{
  "formula": "Tl2POs",
  "functional": "PBE",
  "state": "relaxed",
  "cell": [[1.259, -4.197, 2.066], [-2.866, -2.005, 3.352], [-2.467, -4.041, -1.026]],
  "species": ["Tl", "Tl", "P", "Os"],
  "frac_coords": [[0.000, 0.000, 0.000], [0.750, 0.750, 0.750], [0.250, 0.250, 0.250], [0.500, 0.500, 0.500]],
  "relative_energy_ev_per_atom": 0.948,
  "crystal_system": "cubic"
}

=====

No. 2
{
  "formula": "La6Pd2RuBr3",
  "functional": "PBE",
  "state": "relaxed",
  "cell": [[4.233, 0.000, 0.000], [0.000, 9.325, -0.258], [-2.117, -3.307, 9.458]],
  "species": ["La", "La", "La", "La", "La", "La", "Pd", "Pd", "Ru", "Br", "Br", "Br"],
  "frac_coords": [[0.351, 0.897, 0.702], [0.675, 0.558, 0.350], [0.649, 0.103, 0.298], [0.008, 0.212, 0.016], [0.992, 0.788, 0.984], [0.325, 0.442, 0.650], [0.832, 0.663, 0.664], [0.168, 0.337, 0.336], [0.500, 0.000, 0.000], [0.500, 0.500, 0.000], [0.833, 0.168, 0.667], [0.167, 0.832, 0.333]],
  "crystal_system": "monoclinic"
}

=====

no.,density of states at the Fermi level (states/eV/f.u.),electronic total energy (eV per cell)
1,4.6,-16.9
2,6.5,-67.0